First-principles (PBEsol) data for a relaxed structure of Rb2LiCeCl6, as listed in the Alexandria database.

The crystal system is cubic. Its uncorrected formation energy is -2.01 eV per atom. As for the magnetic moment: 1.00 μB/f.u. As for the density of states at the Fermi level: 8.6 states/eV/f.u.

The space group is Fm-3m (No. 225) and the conventional cell measures 10.440, 10.440 and 10.440 Å, with angles of 90.00, 90.00 and 90.00 degrees. The inequivalent atoms are Rb at (0.250, 0.250, 0.250), Li at (0.000, 0.000, 0.000), Ce at (0.000, 0.000, 0.500) and Cl at (0.000, 0.000, 0.241).


First-principles (PBEsol) data for a relaxed structure of Ce2NCl3, as listed in the Alexandria database.

The crystal system is orthorhombic. Its uncorrected formation energy is -2.01 eV per atom. As for the magnetic moment: 2.00 μB/f.u. As for the density of states at the Fermi level: 14.5 states/eV/f.u.

The space group is Ibam (No. 72) and the conventional cell measures 6.686, 13.565 and 5.931 Å, with angles of 90.00, 90.00 and 90.00 degrees. The inequivalent atoms are Ce at (0.177, 0.095, 0.000), N at (0.000, 0.000, 0.250), Cl at (0.000, 0.500, 0.250) and Cl at (0.194, 0.195, 0.500).


First-principles (PBEsol) data for a relaxed structure of Ce3WCl3O6, as listed in the Alexandria database.

The crystal system is hexagonal. Its uncorrected formation energy is -2.77 eV per atom. As for the magnetic moment: 3.03 μB/f.u. As for the density of states at the Fermi level: 21.8 states/eV/f.u.

The space group is P6_3/m (No. 176) and the conventional cell measures 9.1897, 9.1897 and 5.3164 Å, with angles of 90.00, 90.00 and 120.00 degrees. The inequivalent atoms are Ce at (0.0917, 0.4066, 0.2500), W at (0.3333, 0.6667, 0.7500), Cl at (0.0500, 0.2389, 0.7500) and O at (0.1585, 0.6374, 0.5135).


First-principles (PBEsol) data for a relaxed structure of CeCo3, as listed in the Alexandria database.

The crystal system is trigonal. The value obtained for the calculated formation energy is -0.183 eV per atom. As for the magnetic moment: 0.50 μB/f.u. As for the density of states at the Fermi level: 5.6 states/eV/f.u.

The space group is R-3m (No. 166, hexagonal axes) and the conventional cell measures 4.7967, 4.7967 and 24.0889 Å, with angles of 90.00, 90.00 and 120.00 degrees. The inequivalent atoms are Ce at (0.0000, 0.0000, 0.0000), Ce at (0.0000, 0.0000, 0.1386), Co at (0.0000, 0.0000, 0.3328), Co at (0.0000, 0.0000, 0.5000) and Co at (0.0010, 0.5005, 0.0807).


First-principles (PBEsol) data for a relaxed structure of CeCoF6, as listed in the Alexandria database.

The crystal system is cubic. Its uncorrected formation energy is -2.94 eV per atom. As for the magnetic moment: 2.93 μB/f.u. As for the density of states at the Fermi level: 10.6 states/eV/f.u.

The space group is Fm-3m (No. 225) and the conventional cell measures 8.280, 8.280 and 8.280 Å, with angles of 90.00, 90.00 and 90.00 degrees. The inequivalent atoms are Ce at (0.000, 0.000, 0.000), Co at (0.000, 0.000, 0.500) and F at (0.000, 0.000, 0.263).


First-principles (PBEsol) data for a relaxed structure of Ce2Fe12Co5, as listed in the Alexandria database.

The crystal system is trigonal. The value obtained for the calculated formation energy is 0.019 eV per atom. As for the magnetic moment: 30.47 μB/f.u. As for the density of states at the Fermi level: 27.8 states/eV/f.u.

The space group is R-3m (No. 166, hexagonal axes) and the conventional cell measures 8.1473, 8.1473 and 12.3861 Å, with angles of 90.00, 90.00 and 120.00 degrees. The inequivalent atoms are Ce at (0.0000, 0.0000, 0.1566), Fe at (0.0000, 0.2986, 0.5000), Fe at (0.0041, 0.5021, 0.3403), Co at (0.0000, 0.0000, 0.4077) and Co at (0.0000, 0.5000, 0.0000).


- Look up the magnetic moment of the fourth one.
  0.50 μB/f.u.